# TmSc8Sn6

Crystalline TmSc8Sn6 at its relaxed geometry (PBE, Alexandria).

abc: 7.899 7.899 7.899
angles: 65.69 65.69 65.69
Atoms (fractional coordinates):
Tm  0.000  0.000  0.000
Sc  0.106  0.437  0.774
Sc  0.226  0.894  0.563
Sc  0.333  0.333  0.333
Sc  0.437  0.774  0.106
Sc  0.563  0.226  0.894
Sc  0.667  0.667  0.667
Sc  0.774  0.106  0.437
Sc  0.894  0.563  0.226
Sn  0.069  0.731  0.407
Sn  0.269  0.593  0.931
Sn  0.407  0.069  0.731
Sn  0.593  0.931  0.269
Sn  0.731  0.407  0.069
Sn  0.931  0.269  0.593

Output
Its energy of formation is -6.933 eV per formula unit. The total magnetization is 0.0 μB per cell. The calculation puts the energy at -86.074 eV per cell. Its space group is R-3 (148).

# Tm4ScSn2

Crystalline Tm4ScSn2 at its relaxed geometry (PBE, Alexandria).

abc: 5.072 5.072 16.346
angles: 90.00 90.00 90.00
Atoms (fractional coordinates):
Tm  0.000  0.000  0.182
Tm  0.000  0.000  0.818
Tm  0.000  0.500  0.000
Tm  0.000  0.500  0.500
Tm  0.500  0.000  0.000
Tm  0.500  0.000  0.500
Tm  0.500  0.500  0.318
Tm  0.500  0.500  0.682
Sc  0.000  0.000  0.000
Sc  0.500  0.500  0.500
Sn  0.000  0.000  0.369
Sn  0.000  0.000  0.631
Sn  0.500  0.500  0.131
Sn  0.500  0.500  0.869

Output
Its energy of formation is 1.954 eV per formula unit. The total magnetization is 0.0 μB per cell. The calculation puts the energy at -60.539 eV per cell. Its space group is I4/mmm (139).

- What is the energy in the first record?
  -86.074 eV per cell

- The lowest energy of formation belongs to which entry?
  TmSc8Sn6